(1)
# TaAgGe3

A relaxed structure of TaAgGe3 (PBE-GGA, Alexandria).

Cell lengths 5.025, 5.025, 5.025 Å; angles 90.00, 90.00, 90.00 degrees
Positions (direct):
Ge1 0.000 0.500 0.000
Ge2 0.000 0.000 0.500
Ge3 0.500 0.000 0.000
Ag1 0.500 0.500 0.500
Ta1 0.000 0.000 0.000

Summary:
E_form = 0.5570 eV/atom
space group = Pm-3m, No. 221
offset from the most stable computed form = 0 meV per atom

***

(2)
# TaAg2GeTe

A relaxed structure of TaAg2GeTe (PBE-GGA, Alexandria).

Cell lengths 4.722, 5.802, 4.722 Å; angles 90.00, 90.00, 90.00 degrees
Each line ends with the local moment (μB).
Positions (direct):
Ge1 0.000 0.000 0.000  -0.07
Te1 0.000 0.500 0.000  -0.08
Ag1 0.000 0.000 0.500  -0.01
Ag2 0.500 0.000 0.000  -0.02
Ta1 0.500 0.500 0.500  1.96

Summary:
E_form (uncorrected) = 1.17 eV/atom
space group = P4/mmm, No. 123

***

(3)
# Ta2TiAgGe

A relaxed structure of Ta2TiAgGe (PBE-GGA, Alexandria).

Cell lengths 4.725, 4.788, 4.725 Å; angles 90.00, 90.00, 90.00 degrees
Positions (direct):
Ge1 0.000 0.500 0.000
Ti1 0.000 0.000 0.000
Ag1 0.500 0.500 0.500
Ta1 0.000 0.000 0.500
Ta2 0.500 0.000 0.000

Summary:
E_form = 1.2170 eV/atom
space group = P4/mmm, No. 123

***

Number 3 is which compound?
Ta2TiAgGe